Computed, not measured: a geometry-optimized LiCo2OF3 structure at the PBEsol level of DFT.

abc: 5.6544 5.6544 5.8981
angles: 63.05 63.05 62.75
Positions (direct):
F (0.7443, 0.7443, 0.2857)
F (0.2557, 0.2557, 0.7143)
F (0.7449, 0.2776, 0.2349)
F (0.2776, 0.7449, 0.2349)
F (0.7224, 0.2551, 0.7651)
F (0.2551, 0.7224, 0.7651)
Co (0.8835, 0.8835, 0.4586)
Co (0.5000, 0.0000, 0.0000)
Co (0.1165, 0.1165, 0.5414)
Co (0.0000, 0.5000, 0.0000)
O (0.7487, 0.7487, 0.8184)
O (0.2513, 0.2513, 0.1816)
Li (0.5000, 0.5000, 0.0000)
Li (0.5000, 0.5000, 0.5000)

Summary:
**ΔE to the lowest computed polymorph**: 3.4 meV per atom
**Final energy**: -79.8 eV/cell
**Formation energy without anion corrections**: -1.6343 eV per atom
**Symmetry**: No. 12
**Density of states at the Fermi level**: 0.525 states/eV per atom
**Volume**: 10.15 Å³/atom

---

Computed, not measured: a geometry-optimized Li3Co3OF7 structure at the PBEsol level of DFT.

abc: 5.8748 5.8748 10.0584
angles: 91.31 106.40 118.52
Positions (direct):
Li (0.0022, 0.5183, 0.9958)
Li (0.3503, 0.9069, 0.3143)
Li (0.9075, 0.9641, 0.8143)
Li (0.7525, 0.8800, 0.1254)
Li (0.7455, 0.3729, 0.6254)
Li (0.9775, 0.9936, 0.4958)
Co (0.3847, 0.4267, 0.2998)
Co (0.3936, 0.2143, 0.0794)
Co (0.8283, 0.4273, 0.3025)
Co (0.3731, 0.9151, 0.7998)
Co (0.3651, 0.6859, 0.5794)
Co (0.3752, 0.4742, 0.8025)
O (0.6190, 0.5620, 0.1882)
O (0.1262, 0.5692, 0.6882)
F (0.5803, 0.7812, 0.4406)
F (0.5921, 0.2741, 0.4301)
F (0.5993, 0.0457, 0.1969)
F (0.1460, 0.3227, 0.9358)
F (0.1115, 0.5458, 0.1941)
F (0.1132, 0.7898, 0.4358)
F (0.1484, 0.0826, 0.6941)
F (0.1167, 0.3268, 0.4233)
F (0.5965, 0.3066, 0.9233)
F (0.1594, 0.8603, 0.9406)
F (0.6472, 0.0593, 0.6944)
F (0.1351, 0.0472, 0.1944)
F (0.6559, 0.8380, 0.9301)
F (0.6512, 0.5976, 0.6969)

Summary:
**ΔE to the lowest computed polymorph**: 0.4 meV per atom
**Final energy**: -152.9 eV/cell
**Formation energy without anion corrections**: -2.0435 eV per atom
**Symmetry**: No. 9
**Density of states at the Fermi level**: 0.083 states/eV per atom
**Volume**: 10.27 Å³/atom

---

Computed, not measured: a geometry-optimized Li4CoOF4 structure at the PBEsol level of DFT.

abc: 2.8220 2.8220 10.5990
angles: 97.65 97.65 90.00
Positions (direct):
Li (0.3968, 0.3968, 0.7935)
Li (0.6032, 0.6032, 0.2065)
Li (0.2024, 0.2024, 0.4047)
Li (0.7976, 0.7976, 0.5953)
Co (0.0000, 0.0000, 0.0000)
O (0.5000, 0.5000, 0.0000)
F (0.8936, 0.8936, 0.7872)
F (0.1064, 0.1064, 0.2128)
F (0.7017, 0.7017, 0.4033)
F (0.2983, 0.2983, 0.5967)

Summary:
**Final energy**: -53.0 eV/cell
**Formation energy without anion corrections**: -2.4485 eV per atom
**Symmetry**: No. 139
**Density of states at the Fermi level**: 0.263 states/eV per atom
**Volume**: 8.29 Å³/atom

---

Computed, not measured: a geometry-optimized Li7CoOF7 structure at the PBEsol level of DFT.

abc: 2.8427 5.7679 8.1415
angles: 90.00 90.00 90.00
Positions (direct):
Li (0.5000, 0.7656, 0.0000)
Li (0.5000, 0.7525, 0.5000)
Li (0.5000, 0.2488, 0.5000)
Li (0.0000, 0.5082, 0.2577)
Li (0.0000, 0.5082, 0.7423)
Li (0.0000, 0.9888, 0.2479)
Li (0.0000, 0.9888, 0.7521)
Co (0.5000, 0.2216, 0.0000)
O (0.0000, 0.9994, 0.0000)
F (0.0000, 0.5080, 0.0000)
F (0.0000, 0.0011, 0.5000)
F (0.0000, 0.5012, 0.5000)
F (0.5000, 0.2581, 0.2580)
F (0.5000, 0.2581, 0.7420)
F (0.5000, 0.7467, 0.2571)
F (0.5000, 0.7467, 0.7429)

Summary:
**Final energy**: -81.9 eV/cell
**Formation energy without anion corrections**: -2.6023 eV per atom
**Symmetry**: No. 25
**Density of states at the Fermi level**: 0.166 states/eV per atom
**Volume**: 8.34 Å³/atom

---

Computed, not measured: a geometry-optimized Li5CoOF5 structure at the PBEsol level of DFT.

abc: 2.8223 2.8223 12.4066
angles: 90.00 90.00 90.00
Positions (direct):
Li (0.0000, 0.0000, 0.5000)
Li (0.0000, 0.0000, 0.8268)
Li (0.0000, 0.0000, 0.1732)
Li (0.5000, 0.5000, 0.3393)
Li (0.5000, 0.5000, 0.6607)
Co (0.5000, 0.5000, 0.0000)
O (0.0000, 0.0000, 0.0000)
F (0.5000, 0.5000, 0.5000)
F (0.5000, 0.5000, 0.8215)
F (0.5000, 0.5000, 0.1785)
F (0.0000, 0.0000, 0.3383)
F (0.0000, 0.0000, 0.6617)

Summary:
**ΔE to the lowest computed polymorph**: 0.0 meV per atom
**Final energy**: -62.9 eV/cell
**Formation energy without anion corrections**: -2.5370 eV per atom
**Symmetry**: No. 123
**Density of states at the Fermi level**: 0.219 states/eV per atom
**Volume**: 8.24 Å³/atom

---

Computed, not measured: a geometry-optimized Li3CoOF3 structure at the PBEsol level of DFT.

abc: 2.8218 2.8218 8.4143
angles: 90.00 90.00 90.00
Positions (direct):
F (0.0000, 0.0000, 0.0000)
F (0.5000, 0.5000, 0.7635)
F (0.5000, 0.5000, 0.2365)
Co (0.5000, 0.5000, 0.5000)
O (0.0000, 0.0000, 0.5000)
Li (0.5000, 0.5000, 0.0000)
Li (0.0000, 0.0000, 0.7559)
Li (0.0000, 0.0000, 0.2441)

Summary:
**Final energy**: -43.2 eV/cell
**Formation energy without anion corrections**: -2.3163 eV per atom
**Symmetry**: No. 123
**Density of states at the Fermi level**: 0.329 states/eV per atom
**Volume**: 8.37 Å³/atom

---

Computed, not measured: a geometry-optimized Li4Co2OF7 structure at the PBEsol level of DFT.

abc: 5.6673 5.8584 5.8819
angles: 119.85 90.00 118.93
Positions (direct):
Li (0.9990, 0.9980, 0.9921)
Li (0.2367, 0.4734, 0.7430)
Li (0.6278, 0.2556, 0.3740)
Li (0.6298, 0.2595, 0.8892)
Co (0.5915, 0.7499, 0.3625)
Co (0.1584, 0.7499, 0.3625)
O (0.3795, 0.7589, 0.1347)
F (0.3838, 0.7676, 0.6459)
F (0.8686, 0.7371, 0.1304)
F (0.8717, 0.7434, 0.5842)
F (0.8844, 0.2835, 0.1483)
F (0.3991, 0.2835, 0.1483)
F (0.8419, 0.2183, 0.6174)
F (0.3764, 0.2183, 0.6174)

Summary:
**Final energy**: -74.2 eV/cell
**Formation energy without anion corrections**: -2.2921 eV per atom
**Symmetry**: No. 8
**Density of states at the Fermi level**: 0.315 states/eV per atom
**Volume**: 10.04 Å³/atom

---

Computed, not measured: a geometry-optimized Li5CoOF5 structure at the PBEsol level of DFT.

abc: 3.1019 3.1019 14.7117
angles: 90.00 90.00 120.00
Positions (direct):
Li (0.6667, 0.3333, 0.9937)
Li (0.6667, 0.3333, 0.3383)
Li (0.6667, 0.3333, 0.6654)
Li (0.3333, 0.6667, 0.5020)
Li (0.3333, 0.6667, 0.8288)
Co (0.3333, 0.6667, 0.1604)
O (0.6667, 0.3333, 0.1284)
F (0.6667, 0.3333, 0.4652)
F (0.6667, 0.3333, 0.7921)
F (0.3333, 0.6667, 0.3046)
F (0.3333, 0.6667, 0.9556)
F (0.3333, 0.6667, 0.6287)

Summary:
**ΔE to the lowest computed polymorph**: 14.7 meV per atom
**Final energy**: -62.7 eV/cell
**Formation energy without anion corrections**: -2.5223 eV per atom
**Symmetry**: No. 156
**Density of states at the Fermi level**: 0.170 states/eV per atom
**Volume**: 10.22 Å³/atom